Entry 1:
Material: Ba4NaAl2B8Br3O18
Method: DFT, GGA-PBE
State: optimized geometry

Computed properties:
- Mass density: 3.9 g/cm3
- Final energy: -7.20 eV/atom
- Spin magnetization: 0.0 Bohr magnetons per cell
- E_form (uncorrected): -2.637 eV/atom

Geometry as CIF:
```
data_Ba4NaAl2B8Br3O18
_chemical_formula_sum 'Ba8 Na2 Al4 B16 Br6 O36'
_space_group_name_H-M_alt 'P 42 n m'
_space_group_IT_number 102
_cell_length_a 12.376
_cell_length_b 12.376
_cell_length_c 6.970
_cell_angle_alpha 90.00
_cell_angle_beta 90.00
_cell_angle_gamma 90.00
loop_
_space_group_symop_operation_xyz
'x,y,z'
'-y+1/2,x+1/2,z+1/2'
'-x,-y,z'
'y+1/2,-x+1/2,z+1/2'
'-x+1/2,y+1/2,z+1/2'
'y,x,z'
'x+1/2,-y+1/2,z+1/2'
'-y,-x,z'
loop_
_atom_site_label
_atom_site_fract_x
_atom_site_fract_y
_atom_site_fract_z
_atom_site_occupancy
Ba1 0.020 0.274 0.000 1
Na1 0.000 0.000 0.341 1
Al1 0.205 0.205 0.508 1
B1 0.032 0.771 0.537 1
B2 0.182 0.818 0.305 1
B3 0.227 0.773 0.637 1
Br1 0.000 0.000 0.932 1
Br2 0.000 0.500 0.266 1
O1 0.062 0.801 0.352 1
O2 0.074 0.236 0.593 1
O3 0.110 0.751 0.675 1
O4 0.201 0.799 0.104 1
O5 0.205 0.205 0.254 1
O6 0.249 0.751 0.432 1
```


Entry 2:
Material: Nd2Zn2Ag3
Method: DFT, GGA-PBE
State: optimized geometry

Computed properties:
- Mass density: 8.0 g/cm3
- E above lowest polymorph: 68.5 kJ/mol of formula units
- Final energy: -3.13 eV/atom
- Spin magnetization: 0.0 Bohr magnetons per cell

Geometry as CIF:
```
data_Nd2Zn2Ag3
_chemical_formula_sum 'Nd4 Zn4 Ag6'
_space_group_name_H-M_alt 'C m m m'
_space_group_IT_number 65
_space_group_name_Hall '-C 2 2'
_cell_length_a 4.376
_cell_length_b 19.890
_cell_length_c 3.557
_cell_angle_alpha 90.00
_cell_angle_beta 90.00
_cell_angle_gamma 90.00
loop_
_atom_site_label
_atom_site_fract_x
_atom_site_fract_y
_atom_site_fract_z
_atom_site_occupancy
Nd1 0.000 0.154 0.000 1
Zn1 0.000 0.284 0.500 1
Ag1 0.000 0.000 0.000 1
Ag2 0.000 0.430 0.500 1
```


Entry 3:
Material: Pr5TmMg
Method: DFT, GGA-PBE
State: optimized geometry

Computed properties:
- Mass density: 4.8 g/cm3
- Final energy: -3.44 eV/atom
- Spin magnetization: 0.0 Bohr magnetons per cell

Geometry as CIF:
```
data_Pr5TmMg
_chemical_formula_sum 'Pr10 Tm2 Mg2'
_space_group_name_H-M_alt 'C 1 2/m 1'
_space_group_IT_number 12
_cell_length_a 13.513
_cell_length_b 8.763
_cell_length_c 5.880
_cell_angle_alpha 90.00
_cell_angle_beta 115.73
_cell_angle_gamma 90.00
loop_
_space_group_symop_operation_xyz
'x,y,z'
'-x,-y,-z'
'-x,y,-z'
'x,-y,z'
'x+1/2,y+1/2,z'
'-x+1/2,-y+1/2,-z'
'-x+1/2,y+1/2,-z'
'x+1/2,-y+1/2,z'
loop_
_atom_site_label
_atom_site_fract_x
_atom_site_fract_y
_atom_site_fract_z
_atom_site_occupancy
Pr1 0.000 0.000 0.000 1
Pr2 0.000 0.328 0.500 1
Pr3 0.250 0.000 0.750 1
Tm1 0.000 0.500 0.000 1
Mg1 0.000 0.000 0.500 1
```


> Which value of spin magnetization does entry 1 give?

0.0 Bohr magnetons per cell


> Among the records above, which one has the highest mass density?

Nd2Zn2Ag3